Material: Cs2AlI
Method: DFT, GGA-PBE
State: relaxed

The excess energy over the best structure of this formula in the dataset comes out at 0.0000 eV/atom. Its formation energy (no corrections) is -0.221 eV/atom. Its total energy is -1.97 eV per atom.

It has space group Fm-3m (No. 225), with a = 9.424 Å, b = 9.424 Å, c = 9.424 Å, α = 90.00°, β = 90.00° and γ = 90.00°. Symmetry generates all atoms from Cs at (0.250, 0.250, 0.250), Al at (0.000, 0.000, 0.000) and I at (0.000, 0.000, 0.500).

Material: FePIr2
Method: DFT, GGA-PBE
State: relaxed

Its total energy is -7.57 eV per atom. As for the formation energy: 1.32 eV/f.u.

It has space group I-42d (No. 122), with a = 5.413 Å, b = 5.413 Å, c = 10.340 Å, α = 90.00°, β = 90.00° and γ = 90.00°. Symmetry generates all atoms from Fe at (0.000, 0.000, 0.000), P at (0.000, 0.000, 0.500) and Ir at (0.227, 0.250, 0.625).

Material: Ce2TmC
Method: DFT, GGA-PBE
State: relaxed

The excess energy over the best structure of this formula in the dataset comes out at 0.0000 eV/atom. Its total energy is -6.42 eV per atom. As for the formation energy: -0.10 eV/f.u.

It has space group R-3m (No. 166, hexagonal axes), with a = 3.5153 Å, b = 3.5153 Å, c = 27.9213 Å, α = 90.00°, β = 90.00° and γ = 120.00°. Symmetry generates all atoms from Ce at (0.0000, 0.0000, 0.2187), Tm at (0.0000, 0.0000, 0.0000) and C at (0.0000, 0.0000, 0.5000).

Material: LaAlHg
Method: DFT, GGA-PBE
State: relaxed

Its total energy is -3.36 eV per atom. As for the formation energy: -1.09 eV/f.u.

It has space group P-1 (No. 2), with a = 4.409 Å, b = 4.694 Å, c = 7.667 Å, α = 107.80°, β = 90.09° and γ = 90.00°. Symmetry generates all atoms from La at (0.001, 0.160, 0.321), Al at (0.000, 0.500, 0.000), Al at (0.500, 0.000, 0.000) and Hg at (0.500, 0.366, 0.730).

Material: CoNiW2
Method: DFT, GGA-PBE
State: relaxed

The excess energy over the best structure of this formula in the dataset comes out at 0.0168 eV/atom. Its total energy is -9.64 eV per atom. As for the formation energy: 0.23 eV/f.u.

It has space group Immm (No. 71), with a = 3.767 Å, b = 3.789 Å, c = 7.485 Å, α = 90.00°, β = 90.00° and γ = 90.00°. Symmetry generates all atoms from Co at (0.000, 0.000, 0.000), Ni at (0.000, 0.000, 0.500) and W at (0.000, 0.500, 0.250).